{
  "formula": "TcRhW4",
  "functional": "PBE",
  "state": "optimized geometry",
  "sg": "F-43m, No. 216",
  "final_energy_ev_per_atom": -11.2178,
  "lattice": [[0.377, -5.093, 0.902], [-3.783, -3.194, -1.544], [0.817, -3.277, -3.936]],
  "species": ["Rh", "W", "W", "W", "W", "Tc"],
  "frac_coords": [[0.750, 0.750, 0.750], [0.876, 0.374, 0.374], [0.374, 0.374, 0.374], [0.374, 0.876, 0.374], [0.374, 0.374, 0.876], [0.000, 0.000, 0.000]]
}